Density functional theory data (PBE) for Dy4Er3Sc5 after structural relaxation.

Geometry as CIF:
```
data_Dy4Er3Sc5
_space_group_name_H-M_alt 'C 1 2/m 1'
_space_group_IT_number 12
_cell_length_a 15.345
_cell_length_b 5.655
_cell_length_c 9.222
_cell_angle_alpha 90.00
_cell_angle_beta 119.74
_cell_angle_gamma 90.00
loop_
_space_group_symop_operation_xyz
'x,y,z'
'-x,-y,-z'
'-x,y,-z'
'x,-y,z'
'x+1/2,y+1/2,z'
'-x+1/2,-y+1/2,-z'
'-x+1/2,y+1/2,-z'
'x+1/2,-y+1/2,z'
loop_
_atom_site_label
_atom_site_type_symbol
_atom_site_fract_x
_atom_site_fract_y
_atom_site_fract_z
Dy1 Dy 0.087 0.000 0.445
Dy2 Dy 0.210 0.000 0.883
Er1 Er 0.000 0.500 0.000
Er2 Er 0.228 0.000 0.260
Sc1 Sc 0.000 0.000 0.000
Sc2 Sc 0.061 0.500 0.703
Sc3 Sc 0.167 0.500 0.362
```

## Properties
Formation enthalpy at 0 K: 0.245 eV/atom